Record 1
First-principles (SCAN) data for a PBEsol-optimized structure of BeZnCdSb2, as listed in the Alexandria database.

Calculated values
* formation energy from raw total energies: 1.142 eV/atom
* space-group type: P4/mmm (123)
* DFT total energy: -23.4189 eV per atom

Cell lengths 4.753, 5.455, 5.455 Å; angles 90.00, 90.00, 90.00 degrees
Atoms (fractional coordinates):
Sb  0.000  0.000  0.500
Sb  0.000  0.500  0.000
Zn  0.500  0.000  0.000
Be  0.500  0.500  0.500
Cd  0.000  0.000  0.000

=====

Record 2
First-principles (SCAN) data for a PBEsol-optimized structure of ScFeBr2, as listed in the Alexandria database.

Calculated values
* energy above the most stable polymorph in this dataset: 0.0000 eV per atom
* formation energy from raw total energies: -0.645 eV/atom
* space-group type: P4mm (99)
* DFT total energy: -18.4668 eV per atom

Cell lengths 3.300, 3.300, 7.620 Å; angles 90.00, 90.00, 90.00 degrees
Atoms (fractional coordinates):
Br  0.000  0.000  0.941
Br  0.500  0.500  0.344
Fe  0.000  0.000  0.499
Sc  0.500  0.500  0.716